Crystalline KPrCoO4 at its relaxed geometry. Source: the Alexandria database, functional PBE with a Hubbard U.

Values from the calculation:
density: 4.0 g/cm³
energy: -6.256 eV/atom

a = 5.9486 Å, b = 5.8031 Å, c = 7.4972 Å
α = 90.00°, β = 104.82°, γ = 90.00°
Closest atoms and distances in Å follow each position.
Sites, in units of the cell vectors:
Pr  0.7841  0.7500  0.4443  6 O 2.40-2.48
Pr  0.2159  0.2500  0.5557  6 O 2.40-2.48
O  0.9532  0.4882  0.6897  1 Co 1.82
O  0.4472  0.7500  0.1838  1 Co 1.78
O  0.0468  0.9882  0.3103  1 Co 1.82
O  0.0468  0.5118  0.3103  1 Co 1.82
O  0.5528  0.2500  0.8162  1 Co 1.78
O  0.5689  0.2500  0.4426  1 Co 1.79
O  0.9532  0.0118  0.6897  1 Co 1.82
O  0.4311  0.7500  0.5574  1 Co 1.79
K  0.6982  0.7500  0.9195  6 O 2.77-3.07
K  0.3018  0.2500  0.0805  6 O 2.77-3.07
Co  0.7511  0.2500  0.6737  4 O 1.78-1.82
Co  0.2489  0.7500  0.3263  4 O 1.78-1.82